First-principles (PBE) data for KCePO5 after structural relaxation, as listed in Alexandria.

abc: 6.0560 6.0560 7.9537
angles: 104.33 104.33 105.79
Last column: nearest neighbours and their distance in Å.
Sites, in units of the cell vectors:
K 0.1627 0.8373 0.7500  5 O 2.59-2.87
K 0.8373 0.1627 0.2500  5 O 2.59-2.87
Ce 0.5000 0.5000 0.0000  2 O 2.10
Ce 0.5000 0.5000 0.5000  2 O 2.10
P 0.1838 0.8162 0.2500  4 O 1.56-1.57
P 0.8162 0.1838 0.7500  4 O 1.56-1.57
O 0.0822 0.2584 0.8821  1 P 1.56
O 0.1960 0.6413 0.3650  1 P 1.57
O 0.2584 0.0822 0.3821  1 P 1.56
O 0.3587 0.8040 0.1350  1 P 1.57
O 0.4310 0.5690 0.7500  2 Ce 2.10
O 0.5690 0.4310 0.2500  2 Ce 2.10
O 0.6413 0.1960 0.8650  1 P 1.57
O 0.7416 0.9178 0.6179  1 P 1.56
O 0.8040 0.3587 0.6350  1 P 1.57
O 0.9178 0.7416 0.1179  1 P 1.56

Output
Density in g/cm3: 3.8
Total magnetization in μB/atom: 0.0000
Energy in eV per atom: -7.371
Raw formation energy in eV/atom: -2.72